No. 1
DFT (PBE) results for crystalline ThUSn at its relaxed geometry.

POSCAR file:
```
ThUSn
1.0
-1.992 2.714 -2.026
-1.604 -3.604 -3.250
-5.618 -2.965 5.362
U Sn Th
2 2 2
Direct
0.258 0.838 0.515 U
0.742 0.162 0.485 U
0.395 0.263 0.790 Sn
0.605 0.737 0.210 Sn
0.926 0.750 0.851 Th
0.074 0.250 0.149 Th
```

ΔH_f (0 K): -0.168 eV/atom
Symmetry: C2/m (12)
Spin magnetization: 0.314 μB/atom

---

No. 2
DFT (PBE) results for crystalline RbPa2C2N6 at its relaxed geometry.

POSCAR file:
```
RbPa2C2N6
1.0
-3.563 -1.088 -4.803
-2.955 -5.205 -0.474
-3.596 4.477 1.652
N C Pa Rb
6 2 2 1
Direct
0.074 0.853 0.631 N
0.926 0.147 0.369 N
0.394 0.594 0.820 N
0.012 0.594 0.820 N
0.988 0.406 0.180 N
0.606 0.406 0.180 N
0.840 0.319 0.249 C
0.160 0.681 0.751 C
0.824 0.352 0.803 Pa
0.176 0.648 0.197 Pa
0.500 0.000 0.500 Rb
```

Symmetry: C2/m (12)
Spin magnetization: 0.015 μB/atom
Raw formation energy: -7.4 eV per formula unit

---

No. 3
DFT (PBE) results for crystalline Y3CdSi at its relaxed geometry.

POSCAR file:
```
Y3CdSi
1.0
-4.833 2.408 -0.129
-0.363 -1.013 -5.293
-2.384 -4.727 1.068
Cd Y Si
1 3 1
Direct
0.500 0.500 0.500 Cd
0.500 0.000 0.000 Y
0.000 0.000 0.500 Y
0.000 0.500 0.000 Y
0.000 0.000 0.000 Si
```

Symmetry: Pm-3m (221)
Spin magnetization: 0.242 μB/atom
Raw formation energy: -0.8 eV per formula unit
Energy relative to the lowest polymorph listed for this composition: 0.0000 eV/atom

---

No. 4
DFT (PBE) results for crystalline TiAl2V at its relaxed geometry.

POSCAR file:
```
TiAl2V
1.0
-0.287 -4.355 0.820
3.449 -2.155 1.783
-0.219 -1.461 4.187
Ti V Al
1 1 2
Direct
0.500 0.500 0.500 Ti
0.000 0.000 0.000 V
0.750 0.750 0.750 Al
0.250 0.250 0.250 Al
```

ΔH_f (0 K): -0.164 eV/atom
Symmetry: Fm-3m (225)
Spin magnetization: 0.428 μB/atom
Energy relative to the lowest polymorph listed for this composition: 0.1524 eV/atom

---

| no. | E_tot (eV/atom) |
| --- | --- |
| 1 | -7.74 |
| 2 | -8.71 |
| 3 | -5.30 |
| 4 | -6.29 |